[1]
A relaxed Mg3Pd2Au4 crystal. Source: Alexandria, functional GGA-PBE.

```
data_Mg3Pd2Au4
_chemical_formula_sum 'Mg12 Pd8 Au16'
_cell_length_a 13.1544
_cell_length_b 9.6801
_cell_length_c 4.9784
_cell_angle_alpha 90.00
_cell_angle_beta 99.46
_cell_angle_gamma 90.00
_space_group_name_H-M_alt 'C 1 2/c 1'
_space_group_IT_number 15
loop_
_space_group_symop_operation_xyz
'x,y,z'
'-x,-y,-z'
'-x,y,-z+1/2'
'x,-y,z+1/2'
'x+1/2,y+1/2,z'
'-x+1/2,-y+1/2,-z'
'-x+1/2,y+1/2,-z+1/2'
'x+1/2,-y+1/2,z+1/2'
loop_
_atom_site_label
_atom_site_type_symbol
_atom_site_fract_x
_atom_site_fract_y
_atom_site_fract_z
Mg1 Mg 0.0000 0.1162 0.2500
Mg2 Mg 0.1679 0.3721 0.0798
Pd1 Pd 0.1109 0.1248 0.8092
Au1 Au 0.0542 0.3694 0.5260
Au2 Au 0.2210 0.1230 0.3624
```

Calculated values
The mass density comes out at 11.404 Mg/m³. The uncorrected energy is -3.655 eV/atom. The value obtained for the formation enthalpy at 0 K is -0.5125 eV per atom. The magnetic moment comes out at 0.000 μB/f.u. The value obtained for the density of states at the Fermi level is 0.38 states/eV/atom.

***

[2]
A relaxed Mg3Pd2Au crystal. Source: Alexandria, functional GGA-PBE.

```
data_Mg3Pd2Au
_chemical_formula_sum 'Mg3 Pd2 Au1'
_cell_length_a 3.1921
_cell_length_b 3.1921
_cell_length_c 9.8618
_cell_angle_alpha 90.00
_cell_angle_beta 90.00
_cell_angle_gamma 90.00
_space_group_name_H-M_alt 'P 4/m m m'
_space_group_IT_number 123
_space_group_name_Hall '-P 4 2'
loop_
_atom_site_label
_atom_site_type_symbol
_atom_site_fract_x
_atom_site_fract_y
_atom_site_fract_z
Mg1 Mg 0.0000 0.0000 0.0000
Mg2 Mg 0.0000 0.0000 0.3226
Pd1 Pd 0.5000 0.5000 0.1630
Au1 Au 0.5000 0.5000 0.5000
```

Calculated values
The mass density comes out at 7.977 Mg/m³. The uncorrected energy is -3.762 eV/atom. The value obtained for the formation enthalpy at 0 K is -0.6877 eV per atom. The magnetic moment comes out at 0.000 μB/f.u. The value obtained for the density of states at the Fermi level is 0.37 states/eV/atom.

***

[3]
A relaxed MgPd5Au2 crystal. Source: Alexandria, functional GGA-PBE.

```
data_MgPd5Au2
_chemical_formula_sum 'Mg2 Pd10 Au4'
_cell_length_a 5.6782
_cell_length_b 11.3694
_cell_length_c 3.9942
_cell_angle_alpha 90.00
_cell_angle_beta 90.00
_cell_angle_gamma 90.00
_space_group_name_H-M_alt 'P b a m'
_space_group_IT_number 55
loop_
_space_group_symop_operation_xyz
'x,y,z'
'-x,-y,-z'
'-x,-y,z'
'x,y,-z'
'x+1/2,-y+1/2,-z'
'-x+1/2,y+1/2,z'
'-x+1/2,y+1/2,-z'
'x+1/2,-y+1/2,z'
loop_
_atom_site_label
_atom_site_type_symbol
_atom_site_fract_x
_atom_site_fract_y
_atom_site_fract_z
Mg1 Mg 0.0000 0.0000 0.0000
Pd1 Pd 0.0000 0.5000 0.0000
Pd2 Pd 0.0032 0.2483 0.0000
Pd3 Pd 0.2467 0.8760 0.5000
Au1 Au 0.2466 0.6253 0.5000
```

Calculated values
The mass density comes out at 12.240 Mg/m³. The uncorrected energy is -4.565 eV/atom. The value obtained for the formation enthalpy at 0 K is -0.3013 eV per atom. The magnetic moment comes out at 0.000 μB/f.u. For the relative energy among the computed polymorphs, the calculation gives 0.000 eV/atom. The value obtained for the density of states at the Fermi level is 0.94 states/eV/atom.

***

[4]
A relaxed Mg11Pd4Au9 crystal. Source: Alexandria, functional GGA-PBE.

```
data_Mg11Pd4Au9
_chemical_formula_sum 'Mg22 Pd8 Au18'
_cell_length_a 13.7669
_cell_length_b 19.8242
_cell_length_c 3.0903
_cell_angle_alpha 90.00
_cell_angle_beta 90.00
_cell_angle_gamma 90.00
_space_group_name_H-M_alt 'C m m m'
_space_group_IT_number 65
_space_group_name_Hall '-C 2 2'
loop_
_atom_site_label
_atom_site_type_symbol
_atom_site_fract_x
_atom_site_fract_y
_atom_site_fract_z
Mg1 Mg 0.0000 0.0000 0.0000
Mg2 Mg 0.0000 0.1781 0.0000
Mg3 Mg 0.0000 0.3734 0.0000
Mg4 Mg 0.2351 0.1739 0.0000
Mg5 Mg 0.2418 0.0000 0.0000
Pd1 Pd 0.1597 0.4130 0.5000
Au1 Au 0.0000 0.5000 0.5000
Au2 Au 0.1122 0.2691 0.5000
Au3 Au 0.1172 0.0873 0.5000
```

Calculated values
The mass density comes out at 9.709 Mg/m³. The uncorrected energy is -3.410 eV/atom. The value obtained for the formation enthalpy at 0 K is -0.5847 eV per atom. The magnetic moment comes out at 0.000 μB/f.u. The value obtained for the density of states at the Fermi level is 0.32 states/eV/atom.

***

[5]
A relaxed Mg2Pd3Au4 crystal. Source: Alexandria, functional GGA-PBE.

```
data_Mg2Pd3Au4
_chemical_formula_sum 'Mg4 Pd6 Au8'
_cell_length_a 12.3273
_cell_length_b 4.0258
_cell_length_c 6.4450
_cell_angle_alpha 90.00
_cell_angle_beta 108.67
_cell_angle_gamma 90.00
_space_group_name_H-M_alt 'C 1 2/m 1'
_space_group_IT_number 12
loop_
_space_group_symop_operation_xyz
'x,y,z'
'-x,-y,-z'
'-x,y,-z'
'x,-y,z'
'x+1/2,y+1/2,z'
'-x+1/2,-y+1/2,-z'
'-x+1/2,y+1/2,-z'
'x+1/2,-y+1/2,z'
loop_
_atom_site_label
_atom_site_type_symbol
_atom_site_fract_x
_atom_site_fract_y
_atom_site_fract_z
Mg1 Mg 0.1543 0.0000 0.4942
Pd1 Pd 0.0000 0.5000 0.5000
Pd2 Pd 0.1150 0.5000 0.1767
Au1 Au 0.0557 0.0000 0.8358
Au2 Au 0.2222 0.5000 0.8170
```

Calculated values
The mass density comes out at 12.666 Mg/m³. The uncorrected energy is -3.965 eV/atom. The value obtained for the formation enthalpy at 0 K is -0.4234 eV per atom. The magnetic moment comes out at 0.000 μB/f.u. For the relative energy among the computed polymorphs, the calculation gives 0.024 eV/atom. The value obtained for the density of states at the Fermi level is 0.36 states/eV/atom.

***

[6]
A relaxed Mg4Pd3Au crystal. Source: Alexandria, functional GGA-PBE.

```
data_Mg4Pd3Au
_chemical_formula_sum 'Mg12 Pd9 Au3'
_cell_length_a 4.5494
_cell_length_b 4.5494
_cell_length_c 22.2149
_cell_angle_alpha 90.00
_cell_angle_beta 90.00
_cell_angle_gamma 120.00
_space_group_name_H-M_alt 'R -3 m'
_space_group_IT_number 166
_space_group_name_Hall '-R 3 2"'
loop_
_atom_site_label
_atom_site_type_symbol
_atom_site_fract_x
_atom_site_fract_y
_atom_site_fract_z
Mg1 Mg 0.0000 0.0000 0.1233
Mg2 Mg 0.0000 0.0000 0.3734
Pd1 Pd 0.0000 0.0000 0.0000
Pd2 Pd 0.0000 0.0000 0.2502
Au1 Au 0.0000 0.0000 0.5000
```

Calculated values
The mass density comes out at 7.675 Mg/m³. The uncorrected energy is -3.857 eV/atom. The value obtained for the formation enthalpy at 0 K is -0.7029 eV per atom. The magnetic moment comes out at 0.000 μB/f.u. The value obtained for the density of states at the Fermi level is 0.25 states/eV/atom.

***

[7]
A relaxed MgPd2Au crystal. Source: Alexandria, functional GGA-PBE.

```
data_MgPd2Au
_chemical_formula_sum 'Mg4 Pd8 Au4'
_cell_length_a 3.8920
_cell_length_b 3.8920
_cell_length_c 18.9080
_cell_angle_alpha 90.00
_cell_angle_beta 90.00
_cell_angle_gamma 90.00
_space_group_name_H-M_alt 'I -4 2 d'
_space_group_IT_number 122
_space_group_name_Hall 'I -4 2bw'
loop_
_atom_site_label
_atom_site_type_symbol
_atom_site_fract_x
_atom_site_fract_y
_atom_site_fract_z
Mg1 Mg 0.0000 0.0000 0.0000
Pd1 Pd 0.2498 0.2500 0.1250
Au1 Au 0.0000 0.0000 0.5000
```

Calculated values
The mass density comes out at 10.067 Mg/m³. The uncorrected energy is -4.022 eV/atom. The value obtained for the formation enthalpy at 0 K is -0.2075 eV per atom. The magnetic moment comes out at 0.000 μB/f.u. The value obtained for the density of states at the Fermi level is 0.62 states/eV/atom.

***

[8]
A relaxed MgPd8Au6 crystal. Source: Alexandria, functional GGA-PBE.

```
data_MgPd8Au6
_chemical_formula_sum 'Mg1 Pd8 Au6'
_cell_length_a 7.5745
_cell_length_b 7.5745
_cell_length_c 5.4859
_cell_angle_alpha 90.00
_cell_angle_beta 90.00
_cell_angle_gamma 120.00
_space_group_name_H-M_alt 'P -3'
_space_group_IT_number 147
loop_
_space_group_symop_operation_xyz
'x,y,z'
'-x,-y,-z'
'-y,x-y,z'
'y,-x+y,-z'
'-x+y,-x,z'
'x-y,x,-z'
loop_
_atom_site_label
_atom_site_type_symbol
_atom_site_fract_x
_atom_site_fract_y
_atom_site_fract_z
Mg1 Mg 0.0000 0.0000 0.0000
Pd1 Pd 0.0207 0.6952 0.3763
Pd2 Pd 0.3333 0.6667 0.1956
Au1 Au 0.0508 0.6778 0.8661
```

Calculated values
The mass density comes out at 12.534 Mg/m³. The uncorrected energy is -4.169 eV/atom. The value obtained for the formation enthalpy at 0 K is 0.0178 eV per atom. The magnetic moment comes out at 0.000 μB/f.u. The value obtained for the density of states at the Fermi level is 0.72 states/eV/atom.